Record 1
The following is a DFT calculation (PBE) of AlW4AuC2 after structural relaxation.

abc: 3.047 3.047 13.784
angles: 90.00 90.00 120.00
Positions (direct):
W1 0.667 0.333 0.342
W2 0.333 0.667 0.170
Au1 0.667 0.333 0.000
Al1 0.333 0.667 0.500
W3 0.667 0.333 0.658
C1 0.000 0.000 0.745
C2 0.000 0.000 0.255
W4 0.333 0.667 0.830

Results
crystal system = hexagonal
total moment = 0.01 μB/cell
E_tot = -9.529 eV per atom


Record 2
The following is a DFT calculation (PBE) of Y4AlAuC2 after structural relaxation.

abc: 3.638 3.638 14.915
angles: 90.00 90.00 120.00
Positions (direct):
Y1 0.000 0.000 0.652
Y2 0.000 0.000 0.348
Al1 0.000 0.000 0.000
Au1 0.333 0.667 0.500
C1 0.667 0.333 0.262
Y3 0.333 0.667 0.167
C2 0.667 0.333 0.738
Y4 0.333 0.667 0.833

Results
crystal system = hexagonal
total moment = 0.01 μB/cell
E_tot = -6.799 eV per atom


Record 3
The following is a DFT calculation (PBE) of Zr2Al2AuC3 after structural relaxation.

abc: 3.274 3.274 11.641
angles: 90.00 90.00 120.00
Positions (direct):
Al1 0.667 0.333 0.068
Zr1 0.000 0.000 0.270
C1 0.333 0.667 0.133
Al2 0.667 0.333 0.477
C2 0.333 0.667 0.385
Au1 0.000 0.000 0.887
Zr2 0.333 0.667 0.688
C3 0.000 0.000 0.592

Results
crystal system = trigonal
total moment = 0.02 μB/cell
E_tot = -7.118 eV per atom


Record 4
The following is a DFT calculation (PBE) of ZrAlAuC after structural relaxation.

abc: 4.310 4.310 7.703
angles: 90.00 90.00 120.00
Positions (direct):
Al1 0.000 0.000 0.500
Al2 0.000 0.000 0.000
C1 0.667 0.333 0.376
Zr1 0.667 0.333 0.663
Au1 0.667 0.333 0.097
Zr2 0.333 0.667 0.337
C2 0.333 0.667 0.624
Au2 0.333 0.667 0.903

Results
crystal system = trigonal
total moment = 0.03 μB/cell
E_tot = -6.114 eV per atom